NiO: relaxed, PBE with a Hubbard U.

Structure (extended XYZ):
```
2
Lattice="0.0000 2.1128 2.1128 2.1128 0.0000 2.1128 2.1128 2.1128 0.0000" Properties=species:S:1:pos:R:3 pbc="T T T"
Ni 0.0000 0.0000 0.0000
O 2.1128 2.1128 2.1128
```

Output
The size of the total moment is 2.0 μB per cell. Its electronic total energy is -9.632 eV/cell.